# TbGa3Ag3

An optimized crystal structure of TbGa3Ag3 (PBE, Alexandria via LeMat-Bulk).

The space group is P2_1/m (No. 11) and the conventional cell measures 6.637, 4.337 and 9.616 Å, with angles of 90.00, 105.05 and 90.00 degrees. The distinct sites, in fractional coordinates, are Tb at (0.240, 0.250, 0.112), Ga at (0.220, 0.750, 0.895), Ga at (0.408, 0.750, 0.386), Ga at (0.434, 0.250, 0.841), Ag at (0.010, 0.250, 0.741), Ag at (0.143, 0.250, 0.452) and Ag at (0.322, 0.750, 0.644).

The energy relative to the lowest polymorph listed for this composition is 0.0 meV/atom.

# TbGa2Ag2

An optimized crystal structure of TbGa2Ag2 (PBE, Alexandria via LeMat-Bulk).

The space group is I4/mmm (No. 139) and the conventional cell measures 4.280, 4.280 and 10.946 Å, with angles of 90.00, 90.00 and 90.00 degrees. The distinct sites, in fractional coordinates, are Tb at (0.000, 0.000, 0.000), Ga at (0.000, 0.000, 0.390) and Ag at (0.000, 0.500, 0.250).

The total energy comes out at -36.3 eV/cell.

# Tb2GaAg3

An optimized crystal structure of Tb2GaAg3 (PBE, Alexandria via LeMat-Bulk).

The space group is Fmmm (No. 69) and the conventional cell measures 6.855, 9.376 and 16.362 Å, with angles of 90.00, 90.00 and 90.00 degrees. The distinct sites, in fractional coordinates, are Tb at (0.246, 0.000, 0.000), Tb at (0.250, 0.250, 0.250), Ga at (0.000, 0.000, 0.334), Ag at (0.000, 0.000, 0.171) and Ag at (0.000, 0.244, 0.415).

The energy relative to the lowest polymorph listed for this composition is 0.0 meV/atom.

# TbGa2Ag4

An optimized crystal structure of TbGa2Ag4 (PBE, Alexandria via LeMat-Bulk).

The space group is P4_2/mnm (No. 136) and the conventional cell measures 7.972, 7.972 and 4.267 Å, with angles of 90.00, 90.00 and 90.00 degrees. The distinct sites, in fractional coordinates, are Tb at (0.000, 0.000, 0.000), Ga at (0.204, 0.204, 0.500) and Ag at (0.095, 0.655, 0.500).

The energy relative to the lowest polymorph listed for this composition is 20.5 meV/atom.

# Tb2GaAg3

An optimized crystal structure of Tb2GaAg3 (PBE, Alexandria via LeMat-Bulk).

The space group is Imm2 (No. 44) and the conventional cell measures 3.710, 4.324 and 17.390 Å, with angles of 90.00, 90.00 and 90.00 degrees. The distinct sites, in fractional coordinates, are Tb at (0.000, 0.000, 0.000), Tb at (0.000, 0.500, 0.236), Ga at (0.000, 0.000, 0.578), Ag at (0.000, 0.000, 0.427), Ag at (0.000, 0.500, 0.656) and Ag at (0.000, 0.500, 0.814).

The energy relative to the lowest polymorph listed for this composition is 91.6 meV/atom.

# TbGaAg2

An optimized crystal structure of TbGaAg2 (PBE, Alexandria via LeMat-Bulk).

The space group is Pmmn (No. 59, origin choice 2) and the conventional cell measures 4.814, 6.276 and 5.411 Å, with angles of 90.00, 90.00 and 90.00 degrees. The distinct sites, in fractional coordinates, are Tb at (0.250, 0.250, 0.144), Ga at (0.250, 0.750, 0.219) and Ag at (0.250, 0.006, 0.652).

The energy relative to the lowest polymorph listed for this composition is 0.0 meV/atom.

# Tb3Ga3Ag2

An optimized crystal structure of Tb3Ga3Ag2 (PBE, Alexandria via LeMat-Bulk).

The space group is Cmcm (No. 63) and the conventional cell measures 4.457, 10.795 and 14.750 Å, with angles of 90.00, 90.00 and 90.00 degrees. The distinct sites, in fractional coordinates, are Tb at (0.000, 0.088, 0.109), Tb at (0.000, 0.359, 0.250), Ga at (0.000, 0.355, 0.750), Ga at (0.000, 0.396, 0.042) and Ag at (0.000, 0.208, 0.598).

The total energy comes out at -131.0 eV/cell.

# Tb4Ga3Ag

An optimized crystal structure of Tb4Ga3Ag (PBE, Alexandria via LeMat-Bulk).

The space group is P4/mmm (No. 123) and the conventional cell measures 5.087, 5.087 and 7.276 Å, with angles of 90.00, 90.00 and 90.00 degrees. The distinct sites, in fractional coordinates, are Tb at (0.000, 0.500, 0.246), Ga at (0.000, 0.000, 0.000), Ga at (0.000, 0.000, 0.500), Ga at (0.500, 0.500, 0.000) and Ag at (0.500, 0.500, 0.500).

The energy relative to the lowest polymorph listed for this composition is 0.0 meV/atom.

# Tb5Ga2Ag

An optimized crystal structure of Tb5Ga2Ag (PBE, Alexandria via LeMat-Bulk).

The space group is I4/mmm (No. 139) and the conventional cell measures 6.841, 6.841 and 8.570 Å, with angles of 90.00, 90.00 and 90.00 degrees. The distinct sites, in fractional coordinates, are Tb at (0.000, 0.000, 0.000), Tb at (0.250, 0.250, 0.250), Ga at (0.000, 0.500, 0.000) and Ag at (0.000, 0.000, 0.500).

The energy relative to the lowest polymorph listed for this composition is 121.5 meV/atom.

# TbGaAg4

An optimized crystal structure of TbGaAg4 (PBE, Alexandria via LeMat-Bulk).

The space group is Cmcm (No. 63) and the conventional cell measures 4.960, 13.634 and 7.408 Å, with angles of 90.00, 90.00 and 90.00 degrees. The distinct sites, in fractional coordinates, are Tb at (0.000, 0.121, 0.250), Ga at (0.000, 0.355, 0.250), Ag at (0.000, 0.093, 0.750), Ag at (0.000, 0.285, 0.569) and Ag at (0.000, 0.500, 0.000).

The energy relative to the lowest polymorph listed for this composition is 105.3 meV/atom.

# TbGa4Ag

An optimized crystal structure of TbGa4Ag (PBE, Alexandria via LeMat-Bulk).

The space group is F-43m (No. 216) and the conventional cell measures 7.767, 7.767 and 7.767 Å, with angles of 90.00, 90.00 and 90.00 degrees. The distinct sites, in fractional coordinates, are Tb at (0.000, 0.000, 0.000), Ga at (0.125, 0.125, 0.375) and Ag at (0.250, 0.250, 0.750).

The energy relative to the lowest polymorph listed for this composition is 100.2 meV/atom.

# Tb3Ga8Ag3

An optimized crystal structure of Tb3Ga8Ag3 (PBE, Alexandria via LeMat-Bulk).

The space group is Immm (No. 71) and the conventional cell measures 4.329, 9.564 and 13.062 Å, with angles of 90.00, 90.00 and 90.00 degrees. The distinct sites, in fractional coordinates, are Tb at (0.000, 0.000, 0.000), Tb at (0.000, 0.000, 0.301), Ga at (0.000, 0.282, 0.144), Ga at (0.000, 0.369, 0.341), Ag at (0.000, 0.197, 0.500) and Ag at (0.000, 0.500, 0.000).

The total energy comes out at -106.3 eV/cell.

# Tb4GaAg2

An optimized crystal structure of Tb4GaAg2 (PBE, Alexandria via LeMat-Bulk).

The space group is R-3m (No. 166, hexagonal axes) and the conventional cell measures 5.1037, 5.1037 and 24.6330 Å, with angles of 90.00, 90.00 and 120.00 degrees. The distinct sites, in fractional coordinates, are Tb at (0.0000, 0.0000, 0.1214), Tb at (0.0000, 0.0000, 0.3738), Ga at (0.0000, 0.0000, 0.5000) and Ag at (0.0000, 0.0000, 0.2475).

The energy relative to the lowest polymorph listed for this composition is 0.0 meV/atom.

# Tb2Ga3Ag

An optimized crystal structure of Tb2Ga3Ag (PBE, Alexandria via LeMat-Bulk).

The space group is Fmmm (No. 69) and the conventional cell measures 7.333, 8.943 and 15.537 Å, with angles of 90.00, 90.00 and 90.00 degrees. The distinct sites, in fractional coordinates, are Tb at (0.244, 0.000, 0.000), Tb at (0.250, 0.250, 0.250), Ga at (0.000, 0.000, 0.336), Ga at (0.000, 0.247, 0.418) and Ag at (0.000, 0.000, 0.168).

The total energy comes out at -197.3 eV/cell.

# TbGa3Ag3

An optimized crystal structure of TbGa3Ag3 (PBE, Alexandria via LeMat-Bulk).

The space group is Pm-3n (No. 223) and the conventional cell measures 7.023, 7.023 and 7.023 Å, with angles of 90.00, 90.00 and 90.00 degrees. The distinct sites, in fractional coordinates, are Tb at (0.000, 0.000, 0.000), Ga at (0.000, 0.250, 0.500) and Ag at (0.000, 0.500, 0.250).

The energy relative to the lowest polymorph listed for this composition is 519.1 meV/atom.

# TbThGaAg

An optimized crystal structure of TbThGaAg (PBE, Alexandria via LeMat-Bulk).

The space group is F-43m (No. 216) and the conventional cell measures 7.374, 7.374 and 7.374 Å, with angles of 90.00, 90.00 and 90.00 degrees. The distinct sites, in fractional coordinates, are Tb at (0.000, 0.000, 0.000), Th at (0.000, 0.000, 0.500), Ga at (0.250, 0.250, 0.250) and Ag at (0.250, 0.250, 0.750).

The total energy comes out at -76.7 eV/cell.

# TbTiGaAg

An optimized crystal structure of TbTiGaAg (PBE, Alexandria via LeMat-Bulk).

The space group is F-43m (No. 216) and the conventional cell measures 6.889, 6.889 and 6.889 Å, with angles of 90.00, 90.00 and 90.00 degrees. The distinct sites, in fractional coordinates, are Tb at (0.000, 0.000, 0.000), Ti at (0.000, 0.000, 0.500), Ga at (0.250, 0.250, 0.750) and Ag at (0.250, 0.250, 0.250).

The total energy comes out at -77.2 eV/cell.

# Tb2Zn4Ga3Ag

An optimized crystal structure of Tb2Zn4Ga3Ag (PBE, Alexandria via LeMat-Bulk).

The space group is P-4m2 (No. 115) and the conventional cell measures 4.205, 4.205 and 10.672 Å, with angles of 90.00, 90.00 and 90.00 degrees. The distinct sites, in fractional coordinates, are Tb at (0.000, 0.500, 0.244), Zn at (0.000, 0.000, 0.000), Zn at (0.000, 0.500, 0.639), Zn at (0.500, 0.500, 0.000), Ga at (0.000, 0.500, 0.864), Ga at (0.500, 0.500, 0.500) and Ag at (0.000, 0.000, 0.500).

The total energy comes out at -30.1 eV/cell.

# TbZnGaAg

An optimized crystal structure of TbZnGaAg (PBE, Alexandria via LeMat-Bulk).

The space group is F-43m (No. 216) and the conventional cell measures 6.757, 6.757 and 6.757 Å, with angles of 90.00, 90.00 and 90.00 degrees. The distinct sites, in fractional coordinates, are Tb at (0.000, 0.000, 0.000), Zn at (0.250, 0.250, 0.250), Ga at (0.250, 0.250, 0.750) and Ag at (0.000, 0.000, 0.500).

The total energy comes out at -52.5 eV/cell.

# TbZnGa3Ag

An optimized crystal structure of TbZnGa3Ag (PBE, Alexandria via LeMat-Bulk).

The space group is Cmcm (No. 63) and the conventional cell measures 5.693, 13.339 and 6.439 Å, with angles of 90.00, 90.00 and 90.00 degrees. The distinct sites, in fractional coordinates, are Tb at (0.000, 0.179, 0.250), Zn at (0.000, 0.392, 0.250), Ga at (0.000, 0.379, 0.750), Ga at (0.222, 0.000, 0.000) and Ag at (0.000, 0.171, 0.750).

The total energy comes out at -74.2 eV/cell.